A relaxed InIF3 crystal, computed with PBE.

POSCAR file:
```
InIF3
1.0
-1.931 2.816 2.802
-2.950 -3.103 1.085
2.660 -1.398 3.237
F In I
3 1 1
direct
0.000 0.500 0.000 F
0.000 0.000 0.500 F
0.500 0.000 0.000 F
0.000 0.000 0.000 In
0.500 0.500 0.500 I
```

Summary:
Its electronic total energy is -3.530 eV/atom. Its space-group type is No. 221. The energy above the lowest structure with this stoichiometry comes out at 8.38 kcal/mol of atoms. As for the total magnetization: 1.00 μB/f.u. Its energy relative to the elements, uncorrected is -1.55 eV/atom.